1.
Here is crystalline PmMg2WO6 at its relaxed geometry from Alexandria via LeMat-Bulk. Energies are from PBE with a Hubbard U.

Lattice parameters (Å, degrees): 5.3773 5.4093 5.7471 62.14 63.00 61.03
Fractional positions:
O (0.9293, 0.5956, 0.2304)
O (0.1556, 0.3677, 0.7675)
O (0.3737, 0.7155, 0.7572)
O (0.5776, 0.2425, 0.2389)
O (0.7149, 0.1511, 0.7623)
O (0.2275, 0.9319, 0.2404)
W (0.3208, 0.3232, 0.0433)
Mg (0.5271, 0.5297, 0.4245)
Mg (0.0249, 0.0063, 0.9497)
Pm (0.8101, 0.7980, 0.6009)

## Properties
**Calculated volume**: 123.6 Å³ per cell
**Spin magnetization**: 1.00 μB/cell
**Crystal system**: triclinic
**Uncorrected energy**: -7.124 eV/atom


2.
Here is crystalline PmMgWO6 at its relaxed geometry from Alexandria via LeMat-Bulk. Energies are from PBE with a Hubbard U.

Lattice parameters (Å, degrees): 4.9650 4.9650 9.8340 90.00 90.00 90.00
Fractional positions:
O (0.6986, 0.6986, 0.3038)
O (0.1986, 0.8014, 0.8038)
O (0.8014, 0.1986, 0.8038)
O (0.2217, 0.7783, 0.1822)
O (0.6750, 0.6750, 0.0118)
O (0.1750, 0.8250, 0.5118)
O (0.8250, 0.1750, 0.5118)
O (0.3250, 0.3250, 0.0118)
O (0.7217, 0.7217, 0.6822)
O (0.7783, 0.2217, 0.1822)
O (0.2783, 0.2783, 0.6822)
O (0.3014, 0.3014, 0.3038)
Pm (0.5000, 0.5000, 0.5025)
Pm (0.0000, 0.0000, 0.0025)
W (0.5000, 0.5000, 0.1666)
W (0.0000, 0.0000, 0.6666)
Mg (0.5000, 0.5000, 0.8353)
Mg (0.0000, 0.0000, 0.3353)

## Properties
**Calculated volume**: 242.4 Å³ per cell
**Spin magnetization**: 2.02 μB/cell
**Crystal system**: tetragonal
**Uncorrected energy**: -7.182 eV/atom


| no. | D(E_F) (states/eV/f.u.) |
| --- | --- |
| 1 | 0.0 |
| 2 | 4.5 |